Compound: LaBe
Source: Alexandria via LeMat-Bulk
Functional: PBE-GGA
Structure: relaxed

Total energy   -4.205 eV per atom
DOS(E_F)   9.88 states/eV/cell
E_form   0.122 eV/atom
Spin magnetization   0.0 μB/f.u.
ΔE to the lowest computed polymorph   0.16 eV/f.u.

extended XYZ file:
```
12
Lattice="4.1967 0.0000 0.0000 -2.0983 3.6344 0.0000 0.0000 0.0000 17.4816" Properties=species:S:1:pos:R:3 pbc="T T T"
La 2.0983 1.2115 12.8193
La 0.0000 0.0000 10.4894
Be 0.0000 2.4229 8.6556
Be 2.0983 1.2115 8.8259
Be 0.0000 0.0000 2.9988
Be 2.0983 1.2115 2.8284
La 0.0000 2.4229 1.1650
Be 0.0000 2.4229 14.6531
La 0.0000 0.0000 6.9921
Be 0.0000 0.0000 14.4828
La 2.0983 1.2115 16.3166
La 0.0000 2.4229 4.6622
```